# PBE SrLiMg3, optimized geometry
# - ΔE_f (eV/atom) = 0.07
# - energy above the most stable polymorph in this dataset (meV per atom) = 86.8
# - size of the total moment (μB/f.u.) = 0.00
data_SrLiMg3
_cell_length_a 5.191
_cell_length_b 5.191
_cell_length_c 5.191
_cell_angle_alpha 90.00
_cell_angle_beta 90.00
_cell_angle_gamma 90.00
_symmetry_space_group_name_H-M 'P m -3 m'
_symmetry_Int_Tables_number 221
_symmetry_space_group_name_Hall '-P 4 2 3'
loop_
_atom_site_label
_atom_site_type_symbol
_atom_site_fract_x
_atom_site_fract_y
_atom_site_fract_z
_atom_site_occupancy
Sr1 Sr 0.000 0.000 0.000 1
Li1 Li 0.500 0.500 0.500 1
Mg1 Mg 0.000 0.500 0.500 1